No. 1
The following is a DFT calculation (PBE-GGA) of a relaxed structure of LiAs2Au.

Properties
ρ = 7952 kg/m³
total moment = 0.0 Bohr magnetons per cell
formation enthalpy at 0 K = -0.17 eV/atom
E = -15.16 eV per cell

abc: 4.812 2.867 5.356
angles: 89.98 90.00 90.00
Fractional coordinates of all 4 atoms:
1 As 0.000 0.251 0.009
2 As 0.500 0.250 0.242
3 Au 0.000 0.250 0.526
4 Li 0.500 0.749 0.723

=====

No. 2
The following is a DFT calculation (PBE-GGA) of a relaxed structure of TaPbBr3.

Properties
formation energy (no corrections) = 117 meV per atom
ρ = 7259 kg/m³
total moment = 2.8 Bohr magnetons per cell
E = -20.00 eV per cell

abc: 5.237 5.237 5.237
angles: 90.00 90.00 90.00
Last column: magnetic moment on the atom in μB.
Fractional coordinates of all 5 atoms:
1 Pb 0.500 0.500 0.500  0.33
2 Br 0.000 0.500 0.000  0.02
3 Br 0.000 0.000 0.500  0.01
4 Br 0.500 0.000 0.000  0.05
5 Ta 0.000 0.000 0.000  1.29

=====

No. 3
The following is a DFT calculation (PBE-GGA) of a relaxed structure of LiAg2HgAs.

Properties
ρ = 6636 kg/m³
total moment = 0.0 Bohr magnetons per cell
formation enthalpy at 0 K = -0.03 eV/atom
E = -12.72 eV per cell

abc: 5.009 5.009 4.968
angles: 90.00 90.00 90.00
Fractional coordinates of all 5 atoms:
1 As 0.000 0.000 0.000
2 Hg 0.500 0.500 0.500
3 Ag 0.000 0.500 0.000
4 Ag 0.500 0.000 0.000
5 Li 0.000 0.000 0.500

=====

No. 4
The following is a DFT calculation (PBE-GGA) of a relaxed structure of Ba2EuP.

Properties
ρ = 3666 kg/m³
total moment = 8.4 Bohr magnetons per cell
formation enthalpy at 0 K = -0.47 eV/atom
E = -21.42 eV per cell

abc: 4.501 4.501 12.097
angles: 79.28 79.28 60.00
Last column: magnetic moment on the atom in μB.
Fractional coordinates of all 4 atoms:
1 Eu 0.000 0.000 0.000  7.06
2 P 0.500 0.500 0.500  0.01
3 Ba 0.117 0.117 0.649  0.05
4 Ba 0.883 0.883 0.351  0.05

=====

No. 5
The following is a DFT calculation (PBE-GGA) of a relaxed structure of Sb2Te.

Properties
formation energy (no corrections) = 203 meV per atom
ρ = 7338 kg/m³
total moment = 0.0 Bohr magnetons per cell
E = -10.78 eV per cell

abc: 6.269 6.269 6.269
angles: 144.17 144.17 51.57
Fractional coordinates of all 3 atoms:
1 Sb 0.677 0.677 0.000
2 Sb 0.323 0.323 0.000
3 Te 0.000 0.000 0.000

=====

No. 6
The following is a DFT calculation (PBE-GGA) of a relaxed structure of SmIn2P2Pt7.

Properties
ρ = 12625 kg/m³
total moment = 0.0 Bohr magnetons per cell
formation enthalpy at 0 K = -0.61 eV/atom
E = -70.65 eV per cell

abc: 3.970 3.970 15.357
angles: 82.33 82.33 90.01
Fractional coordinates of all 12 atoms:
1 Sm 0.000 0.000 0.000
2 In 0.784 0.784 0.426
3 In 0.216 0.216 0.574
4 P 0.622 0.622 0.763
5 P 0.378 0.378 0.237
6 Pt 0.500 0.500 0.000
7 Pt 0.303 0.303 0.388
8 Pt 0.697 0.697 0.612
9 Pt 0.923 0.423 0.151
10 Pt 0.423 0.923 0.151
11 Pt 0.577 0.077 0.849
12 Pt 0.077 0.577 0.849

=====

No. 7
The following is a DFT calculation (PBE-GGA) of a relaxed structure of Cs3Cd2Br6.

Properties
formation energy (no corrections) = -1310 meV per atom
ρ = 3966 kg/m³
total moment = 0.0 Bohr magnetons per cell
E = -28.83 eV per cell

abc: 5.628 5.628 15.114
angles: 100.73 100.73 90.00
Fractional coordinates of all 11 atoms:
1 Cs 0.000 0.000 0.000
2 Cs 0.823 0.823 0.646
3 Cs 0.177 0.177 0.354
4 Cd 0.398 0.398 0.795
5 Cd 0.602 0.602 0.205
6 Br 0.085 0.585 0.170
7 Br 0.585 0.085 0.170
8 Br 0.915 0.415 0.830
9 Br 0.415 0.915 0.830
10 Br 0.697 0.697 0.394
11 Br 0.303 0.303 0.606

=====

No. 8
The following is a DFT calculation (PBE-GGA) of a relaxed structure of Li2RhCl.

Properties
formation energy (no corrections) = -174 meV per atom
ρ = 4356 kg/m³
total moment = 0.0 Bohr magnetons per cell
E = -13.72 eV per cell

abc: 4.662 4.662 4.662
angles: 129.99 129.99 73.42
Fractional coordinates of all 4 atoms:
1 Cl 0.750 0.250 0.500
2 Li 0.000 0.000 0.000
3 Li 0.500 0.500 0.000
4 Rh 0.250 0.750 0.500

=====

No. 9
The following is a DFT calculation (PBE-GGA) of a relaxed structure of CaDyHo2Au4.

Properties
ρ = 11789 kg/m³
total moment = 0.0 Bohr magnetons per cell
formation enthalpy at 0 K = -0.85 eV/atom
E = -35.66 eV per cell

abc: 5.073 5.073 8.843
angles: 73.33 73.33 60.00
Fractional coordinates of all 8 atoms:
1 Ca 0.000 0.000 0.000
2 Dy 0.500 0.500 0.500
3 Ho 0.748 0.748 0.755
4 Ho 0.252 0.252 0.245
5 Au 0.379 0.379 0.864
6 Au 0.870 0.870 0.390
7 Au 0.130 0.130 0.610
8 Au 0.621 0.621 0.136

=====

No. 10
The following is a DFT calculation (PBE-GGA) of a relaxed structure of LaZrPb2.

Properties
ρ = 9559 kg/m³
total moment = 0.0 Bohr magnetons per cell
formation enthalpy at 0 K = -0.18 eV/atom
E = -21.63 eV per cell

abc: 10.833 10.833 10.833
angles: 18.51 18.51 18.51
Fractional coordinates of all 4 atoms:
1 La 0.750 0.750 0.750
2 Pb 0.994 0.994 0.994
3 Pb 0.506 0.506 0.506
4 Zr 0.250 0.250 0.250

=====

No. 11
The following is a DFT calculation (PBE-GGA) of a relaxed structure of NaAg3C4O12.

Properties
formation energy (no corrections) = -951 meV per atom
ρ = 3902 kg/m³
total moment = 0.0 Bohr magnetons per cell
E = -125.28 eV per cell

abc: 6.496 6.496 6.496
angles: 102.85 102.85 102.85
Fractional coordinates of all 20 atoms:
1 Na 0.000 0.000 0.000
2 Ag 0.520 0.480 0.000
3 Ag 0.480 0.000 0.520
4 Ag 0.000 0.520 0.480
5 C 0.977 0.023 0.500
6 C 0.023 0.500 0.977
7 C 0.500 0.977 0.023
8 C 0.500 0.500 0.500
9 O 0.500 0.373 0.627
10 O 0.894 0.500 0.106
11 O 0.106 0.894 0.500
12 O 0.500 0.106 0.894
13 O 0.389 0.001 0.163
14 O 0.163 0.389 0.001
15 O 0.001 0.163 0.389
16 O 0.611 0.837 0.999
17 O 0.999 0.611 0.837
18 O 0.837 0.999 0.611
19 O 0.627 0.500 0.373
20 O 0.373 0.627 0.500

=====

No. 12
The following is a DFT calculation (PBE-GGA) of a relaxed structure of CdSbAs2.

Properties
formation energy (no corrections) = 113 meV per atom
ρ = 6640 kg/m³
total moment = 0.0 Bohr magnetons per cell
E = -13.89 eV per cell

abc: 4.058 2.947 8.284
angles: 104.24 90.00 90.00
Fractional coordinates of all 4 atoms:
1 Sb 0.500 0.750 0.750
2 As 0.000 0.914 0.003
3 As 0.000 0.586 0.497
4 Cd 0.500 0.250 0.250

=====

No. 13
The following is a DFT calculation (PBE-GGA) of a relaxed structure of Tb2SmTm3.

Properties
ρ = 8455 kg/m³
total moment = 0.0 Bohr magnetons per cell
formation enthalpy at 0 K = 0.12 eV/atom
E = -53.37 eV per cell

abc: 3.481 8.979 12.822
angles: 78.20 82.20 78.82
Fractional coordinates of all 12 atoms:
1 Tb 0.819 0.478 0.884
2 Tb 0.181 0.522 0.116
3 Tb 0.657 0.153 0.532
4 Tb 0.343 0.847 0.468
5 Sm 0.438 0.478 0.645
6 Sm 0.562 0.522 0.355
7 Tm 0.040 0.129 0.791
8 Tm 0.960 0.871 0.209
9 Tm 0.599 0.828 0.974
10 Tm 0.401 0.172 0.026
11 Tm 0.738 0.817 0.707
12 Tm 0.262 0.183 0.293